1.
DFT (PBE-GGA) results for a relaxed Pa3SeS2 crystal.

Unit cell a=8.842 b=8.842 c=8.842 alpha=154.11 beta=154.11 gamma=36.94
Element x y z (fractional)
1 Pa 0.000 0.000 0.000
2 Pa 0.328 0.328 0.000
3 Pa 0.672 0.672 0.000
4 Se 0.500 0.500 0.000
5 S 0.165 0.165 0.000
6 S 0.835 0.835 0.000

Output
Raw formation energy, meV per atom: -1441
Fermi-level density of states, states/eV/atom: 1.98

2.
DFT (PBE-GGA) results for a relaxed LiScAs2Br crystal.

Unit cell a=5.135 b=5.135 c=5.500 alpha=90.00 beta=90.00 gamma=90.00
Element x y z (fractional)
1 Li 0.000 0.000 0.000
2 Sc 0.500 0.500 0.500
3 As 0.000 0.500 0.500
4 As 0.500 0.000 0.500
5 Br 0.500 0.500 0.000

Output
Raw formation energy, meV per atom: -355
Fermi-level density of states, states/eV/atom: 0.93

3.
DFT (PBE-GGA) results for a relaxed TlAg2Os crystal.

Unit cell a=9.968 b=9.968 c=9.968 alpha=17.02 beta=17.02 gamma=17.02
Element x y z (fractional)
1 Tl 0.000 0.000 0.000
2 Ag 0.506 0.506 0.506
3 Ag 0.759 0.759 0.759
4 Os 0.251 0.251 0.251

Output
Energy, eV per atom: -4.190
Fermi-level density of states, states/eV/atom: 0.60

4.
DFT (PBE-GGA) results for a relaxed Ba3SmPa2N6 crystal.

Unit cell a=6.343 b=6.343 c=6.787 alpha=98.97 beta=98.97 gamma=119.94
Element x y z (fractional)
1 Ba 0.000 0.000 0.000
2 Ba 0.338 0.662 0.000
3 Ba 0.662 0.338 0.000
4 Sm 0.500 0.500 0.500
5 Pa 0.167 0.833 0.500
6 Pa 0.833 0.167 0.500
7 N 0.082 0.439 0.317
8 N 0.203 0.203 0.679
9 N 0.439 0.082 0.317
10 N 0.561 0.918 0.683
11 N 0.797 0.797 0.321
12 N 0.918 0.561 0.683

Output
Raw formation energy, meV per atom: -1230
Fermi-level density of states, states/eV/atom: 0.21

5.
DFT (PBE-GGA) results for a relaxed GeMo crystal.

Unit cell a=5.001 b=5.001 c=5.001 alpha=90.00 beta=90.00 gamma=90.00
Element x y z (fractional)
1 Ge 0.097 0.403 0.597
2 Ge 0.403 0.597 0.097
3 Ge 0.597 0.097 0.403
4 Ge 0.903 0.903 0.903
5 Mo 0.113 0.887 0.387
6 Mo 0.387 0.113 0.887
7 Mo 0.613 0.613 0.613
8 Mo 0.887 0.387 0.113

Output
Energy, eV per atom: -7.848
Fermi-level density of states, states/eV/atom: 0.68

6.
DFT (PBE-GGA) results for a relaxed ScMo2Rh crystal.

Unit cell a=5.022 b=5.022 c=5.150 alpha=110.22 beta=110.22 gamma=33.42
Element x y z (fractional)
1 Sc 0.000 0.000 0.000
2 Mo 0.545 0.545 0.511
3 Mo 0.781 0.781 0.408
4 Rh 0.258 0.258 0.928

Output
Energy, eV per atom: -8.868
Fermi-level density of states, states/eV/atom: 0.95

7.
DFT (PBE-GGA) results for a relaxed Li2H5Pd crystal.

Unit cell a=6.354 b=4.578 c=9.004 alpha=90.00 beta=90.00 gamma=90.00
Element x y z (fractional)
1 Li 0.029 0.250 0.204
2 Li 0.135 0.750 0.438
3 Li 0.365 0.250 0.938
4 Li 0.471 0.750 0.704
5 Li 0.529 0.250 0.296
6 Li 0.635 0.750 0.062
7 Li 0.865 0.250 0.562
8 Li 0.971 0.750 0.796
9 H 0.000 0.000 0.000
10 H 0.000 0.500 0.000
11 H 0.056 0.750 0.225
12 H 0.171 0.537 0.634
13 H 0.171 0.963 0.634
14 H 0.184 0.250 0.408
15 H 0.316 0.750 0.908
16 H 0.329 0.037 0.134
17 H 0.329 0.463 0.134
18 H 0.444 0.250 0.725
19 H 0.500 0.000 0.500
20 H 0.500 0.500 0.500
21 H 0.556 0.750 0.275
22 H 0.671 0.537 0.866
23 H 0.671 0.963 0.866
24 H 0.684 0.250 0.092
25 H 0.816 0.750 0.592
26 H 0.829 0.037 0.366
27 H 0.829 0.463 0.366
28 H 0.944 0.250 0.775
29 Pd 0.187 0.750 0.069
30 Pd 0.313 0.250 0.569
31 Pd 0.687 0.750 0.431
32 Pd 0.813 0.250 0.931

Output
Energy, eV per atom: -3.430
Fermi-level density of states, states/eV/atom: 0.12

8.
DFT (PBE-GGA) results for a relaxed PSeIO crystal.

Unit cell a=3.587 b=5.322 c=6.328 alpha=93.54 beta=96.47 gamma=90.09
Element x y z (fractional)
1 P 0.000 0.000 0.000
2 Se 0.505 0.280 0.059
3 I 0.981 0.873 0.622
4 O 0.015 0.781 0.138

Output
Raw formation energy, meV per atom: -548
Fermi-level density of states, states/eV/atom: 0.03

9.
DFT (PBE-GGA) results for a relaxed HfZr6Zn crystal.

Unit cell a=5.607 b=5.607 c=5.607 alpha=90.04 beta=90.04 gamma=90.04
Element x y z (fractional)
1 Hf 0.000 0.000 0.000
2 Zr 0.000 0.499 0.746
3 Zr 0.000 0.501 0.254
4 Zr 0.254 0.000 0.501
5 Zr 0.499 0.746 0.000
6 Zr 0.501 0.254 0.000
7 Zr 0.746 0.000 0.499
8 Zn 0.500 0.500 0.500

Output
Energy, eV per atom: -7.805
Fermi-level density of states, states/eV/atom: 1.53

10.
DFT (PBE-GGA) results for a relaxed TaV4Ge2 crystal.

Unit cell a=7.442 b=7.442 c=7.442 alpha=144.89 beta=144.89 gamma=50.50
Element x y z (fractional)
1 Ta 0.000 0.000 0.000
2 V 0.000 0.500 0.500
3 V 0.187 0.187 0.000
4 V 0.500 0.000 0.500
5 V 0.813 0.813 0.000
6 Ge 0.374 0.374 0.000
7 Ge 0.626 0.626 0.000

Output
Energy, eV per atom: -7.188
Fermi-level density of states, states/eV/atom: 0.94

11.
DFT (PBE-GGA) results for a relaxed CoTeP2 crystal.

Unit cell a=2.932 b=2.932 c=8.982 alpha=90.00 beta=90.00 gamma=90.00
Element x y z (fractional)
1 Co 0.000 0.000 0.000
2 Te 0.000 0.000 0.500
3 P 0.500 0.500 0.134
4 P 0.500 0.500 0.866

Output
Raw formation energy, meV per atom: 101
Fermi-level density of states, states/eV/atom: 0.77

12.
DFT (PBE-GGA) results for a relaxed BaTa2Mn crystal.

Unit cell a=5.978 b=5.978 c=2.911 alpha=90.00 beta=90.00 gamma=122.28
Element x y z (fractional)
1 Ba 0.000 0.000 0.000
2 Ta 0.000 0.500 0.500
3 Ta 0.500 0.000 0.500
4 Mn 0.500 0.500 0.000

Output
Energy, eV per atom: -7.466
Fermi-level density of states, states/eV/atom: 1.22

What V values result from the calculations? In sequence: 21.936, 29.006, 18.514, 18.741, 15.639, 16.679, 8.186, 29.947, 22.038, 19.376, 19.297, 21.985 A^3/atom.